RbNa2PtPb: relaxed, GGA-PBE.

Cell lengths 5.7212, 5.7212, 5.2366 Å; angles 90.00, 90.00, 90.00 degrees
Positions (direct):
Pt1 0.0000 0.0000 0.0000
Rb1 0.5000 0.5000 0.5000
Pb1 0.0000 0.0000 0.5000
Na1 0.0000 0.5000 0.0000
Na2 0.5000 0.0000 0.0000

**Spin magnetization**: 0.00 μB per formula unit
**Energy of formation from the pure elements**: -0.16 eV/atom
**Density of states at the Fermi level**: 1.8 states/eV/f.u.
**Symmetry**: P4/mmm (123)
**V**: 34.281 A^3/atom

=====

Rb2NaPtPb: relaxed, GGA-PBE.

Cell lengths 6.5580, 6.5580, 5.2688 Å; angles 90.00, 90.00, 90.00 degrees
Positions (direct):
Rb1 0.5000 0.0000 0.0000
Na1 0.5000 0.5000 0.5000
Rb2 0.0000 0.5000 0.0000
Pt1 0.0000 0.0000 0.0000
Pb1 0.0000 0.0000 0.5000

**Spin magnetization**: 0.00 μB per formula unit
**Energy of formation from the pure elements**: -0.02 eV/atom
**Density of states at the Fermi level**: 3.1 states/eV/f.u.
**Symmetry**: P4/mmm (123)
**V**: 45.319 A^3/atom

=====

RbNaPtPb2: relaxed, GGA-PBE.

Cell lengths 5.4540, 5.4540, 5.7556 Å; angles 90.00, 90.00, 90.00 degrees
Positions (direct):
Na1 0.0000 0.0000 0.5000
Pb1 0.5000 0.0000 0.0000
Pb2 0.0000 0.5000 0.0000
Rb1 0.5000 0.5000 0.5000
Pt1 0.0000 0.0000 0.0000

**Spin magnetization**: 0.00 μB per formula unit
**Energy of formation from the pure elements**: -0.09 eV/atom
**Density of states at the Fermi level**: 3.4 states/eV/f.u.
**Symmetry**: P4/mmm (123)
**V**: 34.241 A^3/atom

=====

RbNaPt2Pb: relaxed, GGA-PBE.

Cell lengths 5.2635, 5.6403, 5.2635 Å; angles 90.00, 90.00, 90.00 degrees
Positions (direct):
Rb1 0.5000 0.5000 0.5000
Pt1 0.5000 0.0000 0.0000
Pb1 0.0000 0.0000 0.0000
Na1 0.0000 0.5000 0.0000
Pt2 0.0000 0.0000 0.5000

**Spin magnetization**: 0.00 μB per formula unit
**Energy of formation from the pure elements**: 0.26 eV/atom
**Density of states at the Fermi level**: 4.1 states/eV/f.u.
**Symmetry**: P4/mmm (123)
**V**: 31.252 A^3/atom

=====

NaPtRhPb: relaxed, GGA-PBE.

Cell lengths 4.6639, 4.6639, 4.6639 Å; angles 60.00, 60.00, 60.00 degrees
Positions (direct):
Rh1 0.2500 0.2500 0.2500
Na1 0.5000 0.5000 0.5000
Pb1 0.0000 0.0000 0.0000
Pt1 0.7500 0.7500 0.7500

**Spin magnetization**: 0.00 μB per formula unit
**Energy of formation from the pure elements**: -0.02 eV/atom
**Density of states at the Fermi level**: 2.1 states/eV/f.u.
**Symmetry**: F-43m (216)
**V**: 17.934 A^3/atom

=====

Na2SbPtPb: relaxed, GGA-PBE.

Cell lengths 5.5953, 5.6167, 5.5953 Å; angles 90.00, 90.00, 90.00 degrees
Positions (direct):
Pt1 0.5000 0.5000 0.5000
Na1 0.0000 0.0000 0.5000
Pb1 0.0000 0.0000 0.0000
Na2 0.5000 0.0000 0.0000
Sb1 0.0000 0.5000 0.0000

**Spin magnetization**: 0.00 μB per formula unit
**Uncorrected formation energy**: 0.820 eV per atom
**Density of states at the Fermi level**: 4.5 states/eV/f.u.
**Symmetry**: P4/mmm (123)
**V**: 35.169 A^3/atom

=====

NaSbPtPb: relaxed, GGA-PBE.

Cell lengths 5.0114, 5.0114, 5.0114 Å; angles 60.00, 60.00, 60.00 degrees
Positions (direct):
Na1 0.7500 0.7500 0.7500
Sb1 0.5000 0.5000 0.5000
Pt1 0.2500 0.2500 0.2500
Pb1 0.0000 0.0000 0.0000

**Spin magnetization**: 0.00 μB per formula unit
**Uncorrected formation energy**: -0.184 eV per atom
**Density of states at the Fermi level**: 2.1 states/eV/f.u.
**Symmetry**: F-43m (216)
**V**: 22.249 A^3/atom

=====

NaSrPtPb: relaxed, GGA-PBE.

Cell lengths 5.1754, 5.1754, 5.1754 Å; angles 60.00, 60.00, 60.00 degrees
Positions (direct):
Pb1 0.0000 0.0000 0.0000
Pt1 0.7500 0.7500 0.7500
Sr1 0.5000 0.5000 0.5000
Na1 0.2500 0.2500 0.2500

**Spin magnetization**: 0.00 μB per formula unit
**Energy of formation from the pure elements**: -0.39 eV/atom
**Density of states at the Fermi level**: 2.4 states/eV/f.u.
**Symmetry**: F-43m (216)
**V**: 24.505 A^3/atom

=====

- Which formula does entry 6 have?
  Na2SbPtPb

=====

- Which formula does entry 5 have?
  NaPtRhPb